Record 1
A relaxed Si3GeSe crystal. Source: the Alexandria database, functional PBE.

```
Si3GeSe
1.0
4.810 0.000 0.000
0.000 4.810 0.000
0.000 0.000 4.810
Si Ge Se
3 1 1
Cartesian
0.000 0.000 2.405
0.000 2.405 0.000
2.405 0.000 0.000
0.000 0.000 0.000
2.405 2.405 2.405
```

Values from the calculation:
E_tot (eV/cell): -19.2
M_tot (μB/atom): 0.000
Mass density (g cm⁻³): 3.519
Symmetry: No. 221
Relative energy among the computed polymorphs (eV per atom): 0.000
Uncorrected formation energy (eV per atom): 1.028

Record 2
A relaxed CsBa2Pt2 crystal. Source: the Alexandria database, functional PBE.

```
CsBa2Pt2
1.0
9.096 0.000 0.000
0.000 9.096 0.000
0.000 0.000 4.158
Cs Ba Pt
2 4 4
Cartesian
0.000 0.000 0.000
4.548 4.548 0.000
1.323 3.225 2.079
3.225 7.773 2.079
5.871 1.323 2.079
7.773 5.871 2.079
1.294 5.842 0.000
3.254 1.294 0.000
5.842 7.802 0.000
7.802 3.254 0.000
```

Values from the calculation:
E_tot (eV/cell): -37.9
M_tot (μB/atom): 0.000
Mass density (g cm⁻³): 7.700
Energy of formation from the pure elements (eV per atom): -0.43
Symmetry: No. 127
Relative energy among the computed polymorphs (eV per atom): 0.000

Record 3
A relaxed Ti7As2P2 crystal. Source: the Alexandria database, functional PBE.

```
Ti7As2P2
1.0
-1.741 6.357 3.924
1.741 -6.357 3.924
1.741 6.357 -3.924
Ti As P
7 2 2
Cartesian
0.000 0.000 0.000
1.741 4.919 -0.810
1.741 2.247 1.002
0.000 1.438 3.114
0.000 4.591 1.757
0.000 8.123 1.757
0.000 4.110 4.926
1.741 -3.375 3.324
1.741 3.375 3.324
1.741 0.000 1.931
0.000 0.000 5.215
```

Values from the calculation:
E_tot (eV/cell): -86.0
M_tot (μB/atom): 0.000
Mass density (g cm⁻³): 5.229
Energy of formation from the pure elements (eV per atom): -0.96
Symmetry: No. 44
Relative energy among the computed polymorphs (eV per atom): 0.020

Record 4
A relaxed PrEr4Cu4 crystal. Source: the Alexandria database, functional PBE.

```
PrEr4Cu4
1.0
8.994 0.000 0.000
0.000 8.994 0.000
0.000 0.000 5.596
Pr Er Cu
2 8 8
Cartesian
2.249 2.249 1.399
6.746 6.746 4.197
0.759 5.895 0.842
1.398 8.235 3.640
3.099 5.256 3.640
3.738 7.596 0.842
5.256 1.398 4.754
5.895 3.738 1.956
7.596 0.759 1.956
8.235 3.099 4.754
0.306 5.426 3.571
0.929 8.689 0.773
3.568 4.803 0.773
4.191 8.065 3.571
4.803 0.929 2.025
5.426 4.191 4.823
8.065 0.306 4.823
8.689 3.568 2.025
```

Values from the calculation:
E_tot (eV/cell): -79.5
M_tot (μB/atom): 0.000
Mass density (g cm⁻³): 7.807
Energy of formation from the pure elements (eV per atom): -0.04
Symmetry: No. 86

Record 5
A relaxed K3Ho crystal. Source: the Alexandria database, functional PBE.

```
K3Ho
1.0
9.655 0.000 0.000
0.000 9.655 0.000
0.000 0.000 9.655
K Ho
12 4
Cartesian
0.000 0.000 0.000
0.000 4.827 4.827
2.414 2.414 2.414
2.414 2.414 7.241
2.414 7.241 2.414
2.414 7.241 7.241
4.827 0.000 4.827
4.827 4.827 0.000
7.241 2.414 2.414
7.241 2.414 7.241
7.241 7.241 2.414
7.241 7.241 7.241
0.000 0.000 4.827
0.000 4.827 0.000
4.827 0.000 0.000
4.827 4.827 4.827
```

Values from the calculation:
E_tot (eV/cell): -22.1
M_tot (μB/atom): 0.000
Mass density (g cm⁻³): 2.083
Energy of formation from the pure elements (eV per atom): 0.59
Symmetry: No. 225
Relative energy among the computed polymorphs (eV per atom): 0.010